The following is a GGA-PBE calculation of Ba2CaPm after structural relaxation, from Alexandria.

The calculation puts the energy above the lowest structure with this stoichiometry at 19 meV per atom. The value obtained for the spin magnetization is 0.00 μB per cell. For the formation energy, the calculation gives 173 meV/atom.

The structure belongs to space group P4/mmm (No. 123); the cell edges are 6.5014, 6.5014 and 4.5263 Å and the angles 90.00°, 90.00° and 90.00°. The distinct sites, in fractional coordinates, are Ba at (0.0000, 0.5000, 0.0000), Ca at (0.0000, 0.0000, 0.5000) and Pm at (0.5000, 0.5000, 0.5000).

=====

The following is a GGA-PBE calculation of Ba2CaPm after structural relaxation, from Alexandria.

The calculation puts the energy above the lowest structure with this stoichiometry at 0 meV per atom. The value obtained for the spin magnetization is 0.00 μB per cell. For the formation energy, the calculation gives 154 meV/atom.

The structure belongs to space group P4/mmm (No. 123); the cell edges are 4.0336, 4.0336 and 11.8074 Å and the angles 90.00°, 90.00° and 90.00°. The distinct sites, in fractional coordinates, are Ba at (0.0000, 0.0000, 0.2378), Ca at (0.5000, 0.5000, 0.5000) and Pm at (0.5000, 0.5000, 0.0000).

=====

The following is a GGA-PBE calculation of BaCa2Pm after structural relaxation, from Alexandria.

The calculation puts the energy above the lowest structure with this stoichiometry at 0 meV per atom. The value obtained for the spin magnetization is 0.00 μB per cell. For the formation energy, the calculation gives 86 meV/atom.

The structure belongs to space group P4/mmm (No. 123); the cell edges are 4.2785, 4.2785 and 9.6213 Å and the angles 90.00°, 90.00° and 90.00°. The distinct sites, in fractional coordinates, are Ba at (0.0000, 0.0000, 0.0000), Ca at (0.5000, 0.5000, 0.2844) and Pm at (0.0000, 0.0000, 0.5000).

=====

The following is a GGA-PBE calculation of BaCaPm after structural relaxation, from Alexandria.

The calculation puts the energy above the lowest structure with this stoichiometry at 0 meV per atom. The value obtained for the spin magnetization is 0.00 μB per cell. For the formation energy, the calculation gives 65 meV/atom.

The structure belongs to space group Cm (No. 8); the cell edges are 10.6333, 6.1405 and 7.9936 Å and the angles 90.00°, 90.01° and 90.00°. The distinct sites, in fractional coordinates, are Ba at (0.0000, 0.0000, 0.0000), Ba at (0.1667, 0.5000, 0.8229), Ca at (0.3334, 0.0000, 0.1880), Ca at (0.3333, 0.0000, 0.6348), Pm at (0.0020, 0.0000, 0.4686) and Pm at (0.1692, 0.5000, 0.3543).

=====

The following is a GGA-PBE calculation of BaCa2Pm after structural relaxation, from Alexandria.

The calculation puts the energy above the lowest structure with this stoichiometry at 50 meV per atom. The value obtained for the spin magnetization is 0.00 μB per cell. For the formation energy, the calculation gives 135 meV/atom.

The structure belongs to space group P4/mmm (No. 123); the cell edges are 6.3201, 6.3201 and 4.3145 Å and the angles 90.00°, 90.00° and 90.00°. The distinct sites, in fractional coordinates, are Ba at (0.0000, 0.0000, 0.0000), Ca at (0.0000, 0.5000, 0.5000) and Pm at (0.5000, 0.5000, 0.0000).

=====

The following is a GGA-PBE calculation of Ba2CaPm after structural relaxation, from Alexandria.

The calculation puts the energy above the lowest structure with this stoichiometry at 1 meV per atom. The value obtained for the spin magnetization is 0.00 μB per cell. For the formation energy, the calculation gives 155 meV/atom.

The structure belongs to space group R3m (No. 160, hexagonal axes); the cell edges are 4.0333, 4.0333 and 40.2571 Å and the angles 90.00°, 90.00° and 120.00°. The distinct sites, in fractional coordinates, are Ba at (0.0000, 0.0000, 0.0000), Ba at (0.0000, 0.0000, 0.1726), Ca at (0.0000, 0.0000, 0.4198) and Pm at (0.0000, 0.0000, 0.5862).

=====

The following is a GGA-PBE calculation of BaCa2Pm after structural relaxation, from Alexandria.

The calculation puts the energy above the lowest structure with this stoichiometry at 26 meV per atom. The value obtained for the spin magnetization is 0.00 μB per cell. For the formation energy, the calculation gives 112 meV/atom.

The structure belongs to space group R-3m (No. 166, hexagonal axes); the cell edges are 3.9075, 3.9075 and 39.1109 Å and the angles 90.00°, 90.00° and 120.00°. The distinct sites, in fractional coordinates, are Ba at (0.0000, 0.0000, 0.0000), Ca at (0.0000, 0.0000, 0.2444) and Pm at (0.0000, 0.0000, 0.5000).

=====

The following is a GGA-PBE calculation of BaCaPm after structural relaxation, from Alexandria.

The calculation puts the energy above the lowest structure with this stoichiometry at 81 meV per atom. The value obtained for the spin magnetization is 0.00 μB per cell. For the formation energy, the calculation gives 146 meV/atom.

The structure belongs to space group P3m1 (No. 156); the cell edges are 3.9181, 3.9181 and 9.7828 Å and the angles 90.00°, 90.00° and 120.00°. The distinct sites, in fractional coordinates, are Ba at (0.0000, 0.0000, 0.0000), Ca at (0.3333, 0.6667, 0.6426) and Pm at (0.6667, 0.3333, 0.3365).

=====

The following is a GGA-PBE calculation of BaCa2Pm after structural relaxation, from Alexandria.

The calculation puts the energy above the lowest structure with this stoichiometry at 49 meV per atom. The value obtained for the spin magnetization is 0.00 μB per cell. For the formation energy, the calculation gives 135 meV/atom.

The structure belongs to space group Fm-3m (No. 225); the cell edges are 8.8514, 8.8514 and 8.8514 Å and the angles 90.00°, 90.00° and 90.00°. The distinct sites, in fractional coordinates, are Ba at (0.0000, 0.0000, 0.0000), Ca at (0.2500, 0.2500, 0.2500) and Pm at (0.0000, 0.0000, 0.5000).

=====

The following is a GGA-PBE calculation of Ba2CaPm after structural relaxation, from Alexandria.

The calculation puts the energy above the lowest structure with this stoichiometry at 25 meV per atom. The value obtained for the spin magnetization is 0.00 μB per cell. For the formation energy, the calculation gives 179 meV/atom.

The structure belongs to space group Fm-3m (No. 225); the cell edges are 9.1605, 9.1605 and 9.1605 Å and the angles 90.00°, 90.00° and 90.00°. The distinct sites, in fractional coordinates, are Ba at (0.2500, 0.2500, 0.2500), Ca at (0.0000, 0.0000, 0.0000) and Pm at (0.0000, 0.0000, 0.5000).

=====

The following is a GGA-PBE calculation of BaCaPm after structural relaxation, from Alexandria.

The calculation puts the energy above the lowest structure with this stoichiometry at 85 meV per atom. The value obtained for the spin magnetization is 0.00 μB per cell. For the formation energy, the calculation gives 150 meV/atom.

The structure belongs to space group I4mm (No. 107); the cell edges are 3.9506, 3.9506 and 16.9264 Å and the angles 90.00°, 90.00° and 90.00°. The distinct sites, in fractional coordinates, are Ba at (0.0000, 0.0000, 0.0000), Ca at (0.0000, 0.0000, 0.6850) and Pm at (0.0000, 0.0000, 0.3326).

=====

The following is a GGA-PBE calculation of BaCa2Pm after structural relaxation, from Alexandria.

The calculation puts the energy above the lowest structure with this stoichiometry at 26 meV per atom. The value obtained for the spin magnetization is 0.00 μB per cell. For the formation energy, the calculation gives 112 meV/atom.

The structure belongs to space group R3m (No. 160, hexagonal axes); the cell edges are 3.9039, 3.9039 and 39.0359 Å and the angles 90.00°, 90.00° and 120.00°. The distinct sites, in fractional coordinates, are Ba at (0.0000, 0.0000, 0.0000), Ca at (0.0000, 0.0000, 0.5781), Ca at (0.0000, 0.0000, 0.7556) and Pm at (0.0000, 0.0000, 0.1670).

=====

- energy above the lowest structure with this stoichiometry of number 8 (BaCaPm)?
  81 meV per atom